# ScTlGeO4 | Alexandria via LeMat-Bulk | PBE | relaxed
# Formation energy (no corrections) (meV per atom): -2063
data_ScTlGeO4
_space_group_name_H-M_alt 'P 1 21/m 1'
_space_group_IT_number 11
_cell_length_a 5.4695
_cell_length_b 5.6445
_cell_length_c 7.7083
_cell_angle_alpha 90.00
_cell_angle_beta 91.78
_cell_angle_gamma 90.00
loop_
_space_group_symop_operation_xyz
'x,y,z'
'-x,-y,-z'
'-x,y+1/2,-z'
'x,-y+1/2,z'
loop_
_atom_site_label
_atom_site_type_symbol
_atom_site_fract_x
_atom_site_fract_y
_atom_site_fract_z
Sc1 Sc 0.1808 0.2500 0.4698
Tl1 Tl 0.2433 0.7500 0.1362
Ge1 Ge 0.3317 0.7500 0.6502
O1 O 0.1083 0.5168 0.6545
O2 O 0.3883 0.2500 0.2329
O3 O 0.4505 0.7500 0.4354